Entry from Alexandria: a geometry-optimized HgW structure (PBE-GGA).

Output
Fermi-level density of states ... 1.5 states/eV/f.u.
Polymorph energy (0 for the lowest one) ... 10.02 kcal/mol of atoms
Total magnetic moment ... 0.00 μB/cell
Energy ... -22.8 eV/cell
Energy relative to the elements ... 0.9390 eV/atom

Cell: 5.0843 5.0843 5.0843 Å, 131.59 131.59 70.88°
Last column: nearest neighbours and their distance in Å.
Positions (direct):
Hg 0.3750 0.6250 0.7500  8 W 2.94-2.95, 4 Hg 2.94
Hg 0.6250 0.3750 0.2500  4 Hg 2.94, 8 W 2.94-2.95
W 0.1250 0.8750 0.2500  8 Hg 2.94-2.95, 4 W 2.94
W 0.8750 0.1250 0.7500  8 Hg 2.94-2.95, 4 W 2.94



Entry from Alexandria: a geometry-optimized La3AuC structure (PBE-GGA).

Output
Fermi-level density of states ... 5.6 states/eV/f.u.
Polymorph energy (0 for the lowest one) ... 0.23 kcal/mol of atoms
Total magnetic moment ... 0.00 μB/cell
Energy ... -116.6 eV/cell
Energy relative to the elements ... -0.3709 eV/atom

Cell: 7.3994 10.2600 7.1012 Å, 90.00 90.00 90.00°
Last column: nearest neighbours and their distance in Å.
Positions (direct):
La 0.0266 0.2500 0.0956  2 C 2.66
La 0.2075 0.0488 0.7018  2 C 2.64-2.66
La 0.2075 0.4512 0.7018  2 C 2.64-2.66
La 0.2925 0.5488 0.2018  2 C 2.64-2.66
La 0.2925 0.9512 0.2018  2 C 2.64-2.66
La 0.4734 0.7500 0.5956  2 C 2.66
La 0.5266 0.2500 0.4044  2 C 2.66
La 0.7075 0.0488 0.7982  2 C 2.64-2.66
La 0.7075 0.4512 0.7982  2 C 2.64-2.66
La 0.7925 0.5488 0.2982  2 C 2.64-2.66
La 0.7925 0.9512 0.2982  2 C 2.64-2.66
La 0.9734 0.7500 0.9044  2 C 2.66
Au 0.0610 0.7500 0.4730  6 La 3.12-3.30
Au 0.4390 0.2500 0.9730  6 La 3.12-3.30
Au 0.5610 0.7500 0.0270  6 La 3.12-3.30
Au 0.9390 0.2500 0.5270  6 La 3.12-3.30
C 0.0000 0.0000 0.0000  6 La 2.64-2.66
C 0.0000 0.5000 0.0000  6 La 2.64-2.66
C 0.5000 0.0000 0.5000  6 La 2.64-2.66
C 0.5000 0.5000 0.5000  6 La 2.64-2.66



Entry from Alexandria: a geometry-optimized Mn3V4Cr structure (PBE-GGA).

Output
Fermi-level density of states ... 5.4 states/eV/f.u.
Total magnetic moment ... 0.00 μB/cell
Energy ... -75.5 eV/cell
Energy relative to the elements ... -0.2328 eV/atom

Cell: 2.8832 2.8832 11.5573 Å, 90.00 90.00 90.00°
Last column: nearest neighbours and their distance in Å.
Positions (direct):
Mn 0.0000 0.0000 0.0000  8 V 2.50
Mn 0.0000 0.0000 0.2480  8 V 2.49-2.50
Mn 0.0000 0.0000 0.7520  8 V 2.49-2.50
V 0.5000 0.5000 0.1246  8 Mn 2.49-2.50
V 0.5000 0.5000 0.3738  4 Mn 2.50, 4 Cr 2.51
V 0.5000 0.5000 0.6262  4 Mn 2.50, 4 Cr 2.51
V 0.5000 0.5000 0.8754  8 Mn 2.49-2.50
Cr 0.0000 0.0000 0.5000  8 V 2.51



Entry from Alexandria: a geometry-optimized Li2SiMo structure (PBE-GGA).

Output
Fermi-level density of states ... 1.8 states/eV/f.u.
Total magnetic moment ... 0.00 μB/cell
Energy ... -19.6 eV/cell

Cell: 2.5584 2.5584 8.8300 Å, 90.00 90.00 90.12°
Last column: nearest neighbours and their distance in Å.
Positions (direct):
Li 0.0000 0.0000 0.2293  4 Li 2.56, 4 Si 2.71-2.72
Li 0.0000 0.0000 0.7707  4 Li 2.56, 4 Si 2.71-2.72
Si 0.5000 0.5000 0.0000  4 Si 2.56, 8 Li 2.71-2.72
Mo 0.5000 0.5000 0.5000  4 Mo 2.56